1.
VASP calculation (PBE-GGA) on an optimized crystal structure of Mg2Al2Ag7.

Cell lengths 4.5657, 12.2424, 7.0377 Å; angles 90.00, 90.00, 90.00 degrees
Space group Imm2 (No. 44)
Inequivalent atoms, fractional coordinates:
Mg: 0.0000 0.2125 0.0000
Al: 0.0000 0.0000 0.7719
Al: 0.0000 0.5000 0.9870
Ag: 0.0000 0.0000 0.1553
Ag: 0.0000 0.1477 0.4841
Ag: 0.0000 0.3593 0.6998
Ag: 0.0000 0.3707 0.2954

For the total magnetization, the calculation gives 0.000 μB per formula unit.

---

2.
VASP calculation (PBE-GGA) on an optimized crystal structure of MgAl2Ag.

Cell lengths 2.9184, 4.9088, 10.1582 Å; angles 90.00, 90.00, 90.00 degrees
Space group Immm (No. 71)
Inequivalent atoms, fractional coordinates:
Mg: 0.0000 0.0000 0.0000
Al: 0.0000 0.5000 0.2320
Ag: 0.0000 0.0000 0.5000

For the total magnetization, the calculation gives 0.000 μB per formula unit.

---

3.
VASP calculation (PBE-GGA) on an optimized crystal structure of MgAl2Ag.

Cell lengths 9.4207, 3.2585, 4.8084 Å; angles 90.00, 101.83, 90.00 degrees
Space group C2/m (No. 12)
Inequivalent atoms, fractional coordinates:
Mg: 0.0000 0.0000 0.0000
Al: 0.2453 0.0000 0.7476
Ag: 0.0000 0.5000 0.5000

For the total magnetization, the calculation gives 0.000 μB per formula unit.

---

4.
VASP calculation (PBE-GGA) on an optimized crystal structure of Mg4AlAg3.

Cell lengths 3.3851, 3.3851, 13.0488 Å; angles 90.00, 90.00, 90.00 degrees
Space group P4/mmm (No. 123)
Inequivalent atoms, fractional coordinates:
Mg: 0.0000 0.0000 0.1246
Mg: 0.0000 0.0000 0.3714
Al: 0.5000 0.5000 0.5000
Ag: 0.5000 0.5000 0.0000
Ag: 0.5000 0.5000 0.2508

For the total magnetization, the calculation gives 0.000 μB per formula unit.

---

5.
VASP calculation (PBE-GGA) on an optimized crystal structure of Mg6AlAg10.

Cell lengths 8.0198, 8.0198, 5.6667 Å; angles 90.00, 90.00, 120.00 degrees
Space group P-31m (No. 162)
Inequivalent atoms, fractional coordinates:
Mg: 0.0000 0.3726 0.2928
Al: 0.0000 0.0000 0.5000
Ag: 0.0000 0.2769 0.8107
Ag: 0.3333 0.6667 0.0000
Ag: 0.3333 0.6667 0.5000

For the total magnetization, the calculation gives 0.000 μB per formula unit.

---

6.
VASP calculation (PBE-GGA) on an optimized crystal structure of MgAlAg3.

Cell lengths 7.6200, 5.1695, 9.6559 Å; angles 90.00, 112.64, 90.00 degrees
Space group P2_1/c (No. 14)
Inequivalent atoms, fractional coordinates:
Mg: 0.2404 0.1576 0.0067
Al: 0.3458 0.6582 0.8853
Ag: 0.0497 0.1581 0.2060
Ag: 0.1598 0.6573 0.0972
Ag: 0.4523 0.1738 0.8169

For the total magnetization, the calculation gives 0.000 μB per formula unit.

---

D(E_F) (states/eV/f.u.)
2.9; 0.9; 1.1; 2.5; 5.6; 1.7
ΔE_f (eV per atom)
-0.089; -0.021; -0.021; -0.176; -0.129; -0.133